No. 1
AlHg PBE relaxed; total energy = -0.1337 Ry/atom; space group = Fm-3m (225)
1.0
0.0000 2.8138 2.8138
2.8138 0.0000 2.8138
2.8138 2.8138 0.0000
Al Hg
1 1
Direct
0.0000 0.0000 0.0000
0.5000 0.5000 0.5000

***

No. 2
Hf2ZrNi2As4Pd2 PBE relaxed; E above lowest polymorph = 0.035 eV per atom; total energy = -0.5143 Ry/atom; space group = Pm (6)
1.0
6.4932 0.0000 0.0000
0.0000 3.8827 0.0000
-0.0084 0.0000 7.5386
Hf Zr Ni As Pd
2 1 2 4 2
Direct
0.0000 0.0000 0.0000
0.4980 0.0000 0.1401
0.5717 0.5000 0.5109
0.6806 0.5000 0.8872
0.8855 0.0000 0.3764
0.2687 0.0000 0.4590
0.2824 0.5000 0.9400
0.7872 0.5000 0.1961
0.8159 0.0000 0.6915
0.1774 0.5000 0.2676
0.4189 0.0000 0.7665

***

No. 3
SrTmIr PBE relaxed; E above lowest polymorph = 0.000 eV per atom; total energy = -0.3940 Ry/atom; space group = F-43m (216)
1.0
0.0000 3.4759 3.4759
3.4759 0.0000 3.4759
3.4759 3.4759 0.0000
Sr Tm Ir
1 1 1
Direct
0.0000 0.0000 0.0000
0.5000 0.5000 0.5000
0.2500 0.2500 0.2500